3
Lattice="0.0000 3.1904 3.1904 3.1904 0.0000 3.1904 3.1904 3.1904 0.0000" Properties=species:S:1:pos:R:3 comment="InSiP (PBE, optimized geometry)" magnetic_moment_mub_per_atom=0.000 e_form_raw_ev_per_atom=0.525 spacegroup="F-43m, No. 216" pbc="T T T"
In 0.0000 0.0000 0.0000
Si 3.1904 3.1904 3.1904
P 4.7856 4.7856 4.7856

=====

5
Lattice="5.1299 0.0000 0.0000 0.0000 5.1299 0.0000 0.0000 0.0000 5.1299" Properties=species:S:1:pos:R:3 comment="In3SiP (PBE, optimized geometry)" magnetic_moment_mub_per_atom=0.000 e_form_raw_ev_per_atom=0.588 spacegroup="Pm-3m, No. 221" pbc="T T T"
In 0.0000 0.0000 2.5649
In 0.0000 2.5649 0.0000
In 2.5649 0.0000 0.0000
Si 0.0000 0.0000 0.0000
P 2.5649 2.5649 2.5649

=====

4
Lattice="3.3009 0.0000 0.0000 0.0000 3.3009 0.0000 0.0000 0.0000 7.8801" Properties=species:S:1:pos:R:3 comment="In2SiP (PBE, optimized geometry)" magnetic_moment_mub_per_atom=0.000 e_form_raw_ev_per_atom=0.175 spacegroup="P4mm, No. 99" pbc="T T T"
In 0.0000 0.0000 0.0000
In 1.6504 1.6504 2.5652
Si 1.6504 1.6504 5.6651
P 0.0000 0.0000 4.8642

=====

4
Lattice="1.6608 -2.7126 0.0000 1.6608 2.7126 0.0000 0.0000 0.0000 8.5348" Properties=species:S:1:pos:R:3 comment="InSiP2 (PBE, optimized geometry)" magnetic_moment_mub_per_atom=0.000 e_form_raw_ev_per_atom=0.427 spacegroup="Cmmm, No. 65" pbc="T T T"
In 0.0000 0.0000 0.0000
Si 0.0000 0.0000 4.2674
P 1.6608 0.0000 2.6391
P 1.6608 0.0000 5.8957

=====

3
Lattice="4.7431 0.0000 0.0000 -2.3715 4.1076 0.0000 0.0000 0.0000 2.8891" Properties=species:S:1:pos:R:3 comment="InSiP (PBE, optimized geometry)" magnetic_moment_mub_per_atom=0.000 e_form_raw_ev_per_atom=0.472 spacegroup="P3m1, No. 156" pbc="T T T"
In 0.0000 0.0000 0.0000
Si 0.0000 2.7384 1.4484
P 2.3715 1.3692 1.4506

=====

3
Lattice="-1.6430 1.6430 5.5746 1.6430 -1.6430 5.5746 1.6430 1.6430 -5.5746" Properties=species:S:1:pos:R:3 comment="InSiP (PBE, optimized geometry)" magnetic_moment_mub_per_atom=0.000 e_form_raw_ev_per_atom=0.217 spacegroup="I4mm, No. 107" pbc="T T T"
In 0.0000 0.0000 0.0000
Si 0.0000 0.0000 7.9438
P 0.0000 0.0000 3.0136

=====

4
Lattice="4.7354 -1.6038 0.0000 4.7354 1.6038 0.0000 -1.4537 0.0000 5.2607" Properties=species:S:1:pos:R:3 comment="InSiP2 (PBE, optimized geometry)" magnetic_moment_mub_per_atom=0.000 e_form_raw_ev_per_atom=0.312 spacegroup="C2/m, No. 12" pbc="T T T"
In 0.0000 0.0000 0.0000
Si 4.0085 0.0000 2.6304
P 0.9979 0.0000 3.2340
P 7.0191 0.0000 2.0267

=====

4
Lattice="3.0239 -3.6762 0.0000 3.0239 3.6762 0.0000 0.0000 0.0000 3.7631" Properties=species:S:1:pos:R:3 comment="In2SiP (PBE, optimized geometry)" magnetic_moment_mub_per_atom=0.000 e_form_raw_ev_per_atom=0.430 spacegroup="Cmmm, No. 65" pbc="T T T"
In 1.5119 1.8381 0.0000
In 1.5119 -1.8381 0.0000
Si 0.0000 0.0000 1.8816
P 3.0239 0.0000 1.8816

=====

In the order shown, the computed excess energy over the best structure of this formula in the dataset values come out to 0.923 0.000 0.055 1.724 0.765 0.000 1.263 1.077 eV per formula unit.